Below is crystalline AgSb2Br at its relaxed geometry, with properties calculated at the PBEsol level.

Calculated values
DOS(E_F): 1.8 states/eV per cell
Uncorrected formation energy: 0.244 eV per atom
Space-group type: No. 123
Crystal system: tetragonal

a b c (Å): 4.145 4.145 6.060
angles (deg): 90.00 90.00 90.00
Element x y z (fractional)
Sb (0.500, 0.000, 0.000)
Sb (0.000, 0.500, 0.000)
Br (0.000, 0.000, 0.500)
Ag (0.500, 0.500, 0.500)

***

Below is crystalline Zr2AgSe at its relaxed geometry, with properties calculated at the PBEsol level.

Calculated values
DOS(E_F): 2.2 states/eV per cell
Uncorrected formation energy: -0.508 eV per atom
Space-group type: No. 99
Crystal system: tetragonal

a b c (Å): 3.743 3.743 5.682
angles (deg): 90.00 90.00 90.00
Element x y z (fractional)
Zr (0.000, 0.000, 0.944)
Zr (0.500, 0.500, 0.299)
Ag (0.000, 0.000, 0.457)
Se (0.500, 0.500, 0.800)

***

Below is crystalline LiLaY2 at its relaxed geometry, with properties calculated at the PBEsol level.

Calculated values
DOS(E_F): 5.4 states/eV per cell
Space-group type: No. 71
Crystal system: orthorhombic
Formation enthalpy at 0 K: 0.09 eV per atom

a b c (Å): 3.737 5.559 6.514
angles (deg): 115.26 106.67 90.00
Element x y z (fractional)
Li (0.000, 0.500, 0.000)
La (0.500, 0.000, 0.000)
Y (0.725, 0.725, 0.450)
Y (0.275, 0.275, 0.550)

***

Below is crystalline LiLa2Au2 at its relaxed geometry, with properties calculated at the PBEsol level.

Calculated values
DOS(E_F): 8.6 states/eV per cell
Space-group type: No. 127
Crystal system: tetragonal
Formation enthalpy at 0 K: -0.63 eV per atom

a b c (Å): 3.965 8.073 8.073
angles (deg): 90.00 90.00 90.00
Element x y z (fractional)
Au (0.000, 0.866, 0.634)
Au (0.000, 0.134, 0.366)
Au (0.000, 0.366, 0.866)
Au (0.000, 0.634, 0.134)
La (0.500, 0.664, 0.836)
La (0.500, 0.836, 0.336)
La (0.500, 0.164, 0.664)
La (0.500, 0.336, 0.164)
Li (0.000, 0.500, 0.500)
Li (0.000, 0.000, 0.000)